Entry 1:
The following is a DFT calculation (PBE) of a relaxed structure of Mg2Cu.

Results
For the theoretical density, the calculation gives 3.4 Mg/m³. Its formation enthalpy at 0 K is -11 kJ per mole of atoms. As for the space group: No. 140. The total energy is -7.6 eV per formula unit. The density of states at the Fermi level comes out at 2.1 states/eV/cell.

Structure (POSCAR):
```
Mg2Cu
1.0
-3.980 -0.539 -3.408
-0.074 -2.487 4.643
-0.082 5.110 1.276
Mg Cu
4 2
Cartesian
-2.759 0.125 2.228
-1.376 1.959 0.283
-0.784 2.517 3.594
-3.351 -0.433 -1.083
-1.013 -0.756 0.309
-3.040 -2.269 0.926
```

=====

Entry 2:
The following is a DFT calculation (PBE) of a relaxed structure of MgCu4.

Results
For the theoretical density, the calculation gives 5.3 Mg/m³. Its formation enthalpy at 0 K is 71 kJ per mole of atoms. As for the space group: No. 229. The total energy is -14.3 eV per formula unit. The density of states at the Fermi level comes out at 3.1 states/eV/cell.

Structure (POSCAR):
```
MgCu4
1.0
1.584 -3.034 3.405
-2.800 3.371 2.025
-2.553 -2.455 -3.281
Mg Cu
1 4
Cartesian
0.000 0.000 0.000
-1.277 -1.227 -1.640
-1.400 1.686 1.012
-1.885 -1.058 1.075
0.792 -1.517 1.702
```

=====

Entry 3:
The following is a DFT calculation (PBE) of a relaxed structure of MgCu3.

Results
For the theoretical density, the calculation gives 6.6 Mg/m³. Its formation enthalpy at 0 K is -2 kJ per mole of atoms. As for the space group: No. 63. The total energy is -14.0 eV per formula unit. The density of states at the Fermi level comes out at 1.6 states/eV/cell.

Structure (POSCAR):
```
MgCu3
1.0
5.314 -0.018 0.000
-2.660 4.622 0.000
0.000 0.000 4.396
Cu Mg
6 2
Cartesian
4.040 0.751 2.198
1.360 0.782 2.198
2.602 -0.006 0.000
2.679 3.115 2.198
2.622 4.585 0.000
1.302 2.253 0.000
0.104 3.136 2.198
3.878 2.232 0.000
```

=====

Entry 4:
The following is a DFT calculation (PBE) of a relaxed structure of MgCu.

Results
For the theoretical density, the calculation gives 4.3 Mg/m³. Its formation enthalpy at 0 K is 5 kJ per mole of atoms. As for the space group: No. 70. The total energy is -5.6 eV per formula unit. The density of states at the Fermi level comes out at 9.9 states/eV/cell.

Structure (POSCAR):
```
MgCu
1.0
-1.041 0.533 -4.821
3.909 -12.785 -2.257
-7.517 -2.536 1.342
Cu Mg
16 16
Cartesian
-3.149 -12.193 -4.497
-1.467 -8.763 -0.652
0.337 -1.102 -0.195
-0.707 -12.684 -3.802
-2.020 -2.328 -3.650
-3.824 -9.989 -4.107
-2.141 -6.558 -0.263
-4.584 -6.067 -0.957
1.772 -7.229 -3.734
-3.942 -2.104 -1.934
-1.345 -4.533 -4.039
1.097 -5.024 -3.345
-5.258 -3.862 -0.568
1.130 -11.192 -2.757
3.572 -11.683 -2.063
0.455 -8.987 -2.368
0.674 -6.825 -0.900
-6.722 -5.130 -2.945
1.553 -9.391 -5.202
-4.160 -4.266 -3.402
-3.605 -7.826 -2.639
-1.685 -10.925 -2.120
-1.801 -0.166 -2.182
-2.478 -0.836 0.442
-6.757 -1.837 -1.297
-4.282 -8.496 -0.015
-1.043 -6.962 -3.097
-1.009 -10.255 -4.745
-5.040 -1.700 0.900
-2.443 -4.129 -1.205
0.119 -3.265 -1.663
-4.247 -11.790 -1.663
```

=====

Entry 5:
The following is a DFT calculation (PBE) of a relaxed structure of Mg3Cu4.

Results
For the theoretical density, the calculation gives 3.9 Mg/m³. Its formation enthalpy at 0 K is 52 kJ per mole of atoms. As for the space group: No. 221. The total energy is -17.4 eV per formula unit. The density of states at the Fermi level comes out at 3.2 states/eV/cell.

Structure (POSCAR):
```
Mg3Cu4
1.0
-1.242 3.864 3.242
-4.611 -2.222 0.882
2.043 -2.667 3.961
Cu Mg
4 3
Cartesian
-2.927 0.821 2.062
0.400 0.598 3.602
0.000 0.000 0.000
-1.284 -2.445 2.422
-0.621 1.932 1.621
-2.306 -1.111 0.441
1.021 -1.334 1.981
```

=====

Entry 6:
The following is a DFT calculation (PBE) of a relaxed structure of Mg2Cu17.

Results
For the theoretical density, the calculation gives 7.4 Mg/m³. Its formation enthalpy at 0 K is 1 kJ per mole of atoms. As for the space group: No. 166. The total energy is -72.6 eV per formula unit. The density of states at the Fermi level comes out at 7.1 states/eV/cell.

Structure (POSCAR):
```
Mg2Cu17
1.0
6.382 -0.011 -0.010
0.894 6.319 -0.010
0.894 0.775 6.271
Cu Mg
17 2
Cartesian
0.894 4.626 1.909
0.802 0.695 0.613
3.273 5.595 2.159
4.706 1.922 -0.010
4.897 1.487 4.092
2.570 4.385 -0.010
7.368 6.388 5.638
0.894 2.468 4.353
0.447 3.159 -0.005
4.706 0.229 1.909
4.897 4.245 0.968
2.167 4.636 4.092
2.570 0.535 4.353
3.191 -0.006 -0.005
0.447 0.387 3.136
3.273 2.838 5.284
6.003 2.447 2.159
2.784 2.414 2.130
5.386 4.669 4.121
```

=====

Entry 7:
The following is a DFT calculation (PBE) of a relaxed structure of MgCu.

Results
For the theoretical density, the calculation gives 4.5 Mg/m³. Its formation enthalpy at 0 K is -5 kJ per mole of atoms. As for the space group: No. 129. The total energy is -5.8 eV per formula unit. The density of states at the Fermi level comes out at 1.2 states/eV/cell.

Structure (POSCAR):
```
MgCu
1.0
3.173 0.000 0.000
0.000 3.173 0.000
0.000 0.000 6.461
Cu Mg
2 2
Cartesian
2.380 2.380 5.860
0.793 0.793 0.601
0.793 0.793 4.321
2.380 2.380 2.140
```

=====

Entry 8:
The following is a DFT calculation (PBE) of a relaxed structure of MgCu3.

Results
For the theoretical density, the calculation gives 6.5 Mg/m³. Its formation enthalpy at 0 K is 9 kJ per mole of atoms. As for the space group: No. 166. The total energy is -13.5 eV per formula unit. The density of states at the Fermi level comes out at 0.9 states/eV/cell.

Structure (POSCAR):
```
MgCu3
1.0
-4.922 6.724 -1.832
-4.911 5.494 -4.300
-6.714 4.699 -2.371
Cu Mg
3 1
Cartesian
-4.137 4.229 -2.126
-16.472 16.840 -8.465
-8.348 8.535 -4.290
-12.410 12.687 -6.378
```

=====

Entry 9:
The following is a DFT calculation (PBE) of a relaxed structure of Mg2Cu3.

Results
For the theoretical density, the calculation gives 5.3 Mg/m³. The calculation puts the energy above the most stable polymorph in this dataset at 0.55 eV per formula unit. Its formation enthalpy at 0 K is 4 kJ per mole of atoms. As for the space group: No. 43. The total energy is -15.3 eV per formula unit. The density of states at the Fermi level comes out at 2.5 states/eV/cell.

Structure (POSCAR):
```
Mg2Cu3
1.0
0.000 4.532 12.268
1.341 0.000 12.268
1.341 4.532 0.000
Cu Mg
6 4
Cartesian
0.711 2.266 6.134
1.570 4.727 9.889
0.040 4.532 12.268
2.241 6.993 20.781
1.570 4.336 14.647
2.241 6.602 16.022
1.762 4.671 19.771
1.762 4.392 4.765
1.092 6.658 13.637
1.092 2.405 10.899
```

=====

Entry 10:
The following is a DFT calculation (PBE) of a relaxed structure of MgCu.

Results
For the theoretical density, the calculation gives 4.4 Mg/m³. Its formation enthalpy at 0 K is 10 kJ per mole of atoms. As for the space group: No. 164. The total energy is -5.5 eV per formula unit. The density of states at the Fermi level comes out at 1.6 states/eV/cell.

Structure (POSCAR):
```
MgCu
1.0
-2.468 -0.429 -1.525
2.588 0.041 -1.380
0.776 -8.722 1.196
Mg Cu
2 2
Cartesian
1.504 -6.879 -0.501
0.368 -4.139 0.567
0.014 -0.156 0.021
1.083 -2.140 -1.151
```

=====

Entry 11:
The following is a DFT calculation (PBE) of a relaxed structure of MgCu.

Results
For the theoretical density, the calculation gives 2.4 Mg/m³. Its formation enthalpy at 0 K is 47 kJ per mole of atoms. As for the space group: No. 217. The total energy is -4.7 eV per formula unit. The density of states at the Fermi level comes out at 5.6 states/eV/cell.

Structure (POSCAR):
```
MgCu
1.0
7.830 0.000 0.000
0.000 7.830 0.000
0.000 0.000 7.830
Cu Mg
8 8
Cartesian
0.863 0.863 6.968
4.778 3.052 4.778
3.052 4.778 4.778
3.052 3.052 3.052
6.968 6.968 6.968
6.968 0.863 0.863
0.863 6.968 0.863
4.778 4.778 3.052
6.223 1.607 6.223
2.308 2.308 5.522
2.308 5.522 2.308
5.522 5.522 5.522
5.522 2.308 2.308
1.607 1.607 1.607
6.223 6.223 1.607
1.607 6.223 6.223
```

=====

Entry 12:
The following is a DFT calculation (PBE) of a relaxed structure of MgCu.

Results
For the theoretical density, the calculation gives 4.1 Mg/m³. Its formation enthalpy at 0 K is -4 kJ per mole of atoms. As for the space group: No. 191. The total energy is -5.8 eV per formula unit. The density of states at the Fermi level comes out at 2.1 states/eV/cell.

Structure (POSCAR):
```
MgCu
1.0
2.641 -4.574 0.000
2.641 4.574 0.000
0.000 0.000 4.430
Cu Mg
3 3
Cartesian
1.320 -2.287 0.000
2.641 0.000 0.000
1.320 2.287 0.000
2.641 1.525 2.215
2.641 -1.525 2.215
0.000 0.000 0.000
```